The following is a PBE-GGA calculation of a relaxed structure of Lu4SiPbC2, from the Open Quantum Materials Database.

```
Lu4SiPbC2
1.0
3.526 0.000 0.000
-1.763 3.054 0.000
0.000 0.000 15.001
Lu Si Pb C
4 1 1 2
Direct
0.000 0.000 0.147
0.000 0.000 0.853
0.333 0.667 0.319
0.333 0.667 0.681
0.333 0.667 0.000
0.000 0.000 0.500
0.667 0.333 0.237
0.667 0.333 0.763
```

- Calculated density: 9.86 g cm⁻³
- Raw total energy: -6.217 eV/atom

The following is a PBE-GGA calculation of a relaxed structure of OsAuSeO, from the Open Quantum Materials Database.

```
OsAuSeO
1.0
2.939 0.000 0.000
0.000 8.528 0.000
0.000 0.000 5.595
Os Au Se O
2 2 2 2
Direct
0.000 0.145 0.000
0.000 0.855 0.500
0.500 0.302 0.650
0.500 0.698 0.150
0.500 0.345 0.191
0.500 0.655 0.691
0.000 0.020 0.275
0.000 0.980 0.775
```

- Calculated density: 11.42 g cm⁻³
- Raw total energy: -5.740 eV/atom

The following is a PBE-GGA calculation of a relaxed structure of SrEr, from the Open Quantum Materials Database.

```
SrEr
1.0
5.910 0.000 0.000
-2.955 5.118 0.000
0.000 0.000 6.417
Sr Er
2 2
Direct
0.333 0.667 0.250
0.667 0.333 0.750
0.000 0.000 0.000
0.000 0.000 0.500
```

- Calculated density: 4.36 g cm⁻³
- Raw total energy: -2.446 eV/atom

The following is a PBE-GGA calculation of a relaxed structure of ThZr, from the Open Quantum Materials Database.

```
ThZr
1.0
5.623 0.000 0.000
0.000 8.419 2.927
0.000 -8.419 2.927
Th Zr
5 5
Direct
0.000 0.000 0.000
0.000 0.423 0.629
0.000 0.629 0.423
0.500 0.065 0.279
0.500 0.279 0.065
0.000 0.211 0.791
0.000 0.791 0.211
0.500 0.496 0.900
0.500 0.677 0.677
0.500 0.900 0.496
```

- Calculated density: 9.69 g cm⁻³
- Raw total energy: -7.884 eV/atom

The following is a PBE-GGA calculation of a relaxed structure of Er3BrO4, from the Open Quantum Materials Database.

```
Er3BrO4
1.0
2.009 -5.799 0.000
2.009 5.799 0.000
0.000 0.000 11.493
Er Br O
6 2 8
Direct
0.119 0.881 0.750
0.186 0.814 0.103
0.186 0.814 0.397
0.814 0.186 0.603
0.814 0.186 0.897
0.881 0.119 0.250
0.500 0.500 0.000
0.500 0.500 0.500
0.066 0.934 0.250
0.230 0.770 0.590
0.230 0.770 0.910
0.309 0.691 0.250
0.691 0.309 0.750
0.770 0.230 0.090
0.770 0.230 0.410
0.934 0.066 0.750
```

- Calculated density: 8.01 g cm⁻³
- Raw total energy: -7.772 eV/atom

The following is a PBE-GGA calculation of a relaxed structure of SmGdCo2Si2, from the Open Quantum Materials Database.

```
SmGdCo2Si2
1.0
3.978 0.000 0.000
0.000 3.978 0.000
0.000 0.000 6.858
Sm Gd Co Si
1 1 2 2
Direct
0.000 0.000 0.000
0.500 0.500 0.629
0.000 0.500 0.320
0.500 0.000 0.320
0.000 0.000 0.497
0.500 0.500 0.143
```

- Calculated density: 7.37 g cm⁻³
- Raw total energy: -6.458 eV/atom

The following is a PBE-GGA calculation of a relaxed structure of Cs5Au2, from the Open Quantum Materials Database.

```
Cs5Au2
1.0
20.148 -2.493 0.000
20.148 2.493 0.000
-0.939 0.000 8.433
Cs Au
10 4
Direct
0.000 0.000 0.229
0.000 0.000 0.771
0.111 0.111 0.061
0.300 0.300 0.631
0.301 0.301 0.155
0.411 0.411 0.453
0.589 0.589 0.547
0.699 0.699 0.845
0.700 0.700 0.369
0.889 0.889 0.939
0.154 0.154 0.584
0.452 0.452 0.975
0.548 0.548 0.025
0.846 0.846 0.416
```

- Calculated density: 4.15 g cm⁻³
- Raw total energy: -1.705 eV/atom

The following is a PBE-GGA calculation of a relaxed structure of LiYAu2, from the Open Quantum Materials Database.

```
LiYAu2
1.0
-2.433 2.433 3.435
2.433 -2.433 3.435
2.433 2.433 -3.435
Li Y Au
1 1 2
Direct
0.000 0.000 0.000
0.500 0.500 0.000
0.250 0.750 0.500
0.750 0.250 0.500
```

- Calculated density: 10.00 g cm⁻³
- Raw total energy: -4.443 eV/atom

The following is a PBE-GGA calculation of a relaxed structure of Ta2Tl3Au3S8, from the Open Quantum Materials Database.

```
Ta2Tl3Au3S8
1.0
10.366 -2.939 0.000
10.366 2.939 0.000
-0.572 0.000 7.342
Ta Tl Au S
2 3 3 8
Direct
0.130 0.130 0.192
0.870 0.870 0.808
0.230 0.770 0.500
0.574 0.036 0.290
0.964 0.426 0.710
0.020 0.980 0.000
0.362 0.363 0.812
0.637 0.638 0.188
0.009 0.429 0.129
0.060 0.617 0.557
0.116 0.679 0.067
0.321 0.884 0.933
0.383 0.940 0.443
0.571 0.991 0.871
0.734 0.178 0.725
0.822 0.266 0.275
```

- Calculated density: 6.76 g cm⁻³
- Raw total energy: -5.138 eV/atom

The following is a PBE-GGA calculation of a relaxed structure of KGdBeTe3, from the Open Quantum Materials Database.

```
KGdBeTe3
1.0
2.150 -7.963 0.000
2.150 7.963 0.000
0.000 0.000 11.735
K Gd Be Te
2 2 2 6
Direct
0.247 0.753 0.750
0.753 0.247 0.250
0.500 0.500 0.000
0.500 0.500 0.500
0.036 0.964 0.250
0.964 0.036 0.750
0.126 0.874 0.078
0.126 0.874 0.422
0.439 0.561 0.250
0.561 0.439 0.750
0.874 0.126 0.578
0.874 0.126 0.922
```

- Calculated density: 4.86 g cm⁻³
- Raw total energy: -4.166 eV/atom

The following is a PBE-GGA calculation of a relaxed structure of Ta, from the Open Quantum Materials Database.

```
Ta
1.0
10.252 0.000 0.000
0.000 10.252 0.000
0.000 0.000 5.336
Ta
30
Direct
0.000 0.000 0.000
0.035 0.371 0.500
0.067 0.261 0.000
0.105 0.105 0.500
0.129 0.535 0.000
0.181 0.819 0.251
0.181 0.819 0.749
0.239 0.567 0.500
0.261 0.067 0.000
0.319 0.319 0.249
0.319 0.319 0.751
0.371 0.035 0.500
0.395 0.605 0.000
0.433 0.761 0.500
0.465 0.871 0.000
0.500 0.500 0.500
0.535 0.129 0.000
0.567 0.239 0.500
0.605 0.395 0.000
0.629 0.965 0.500
0.681 0.681 0.249
0.681 0.681 0.751
0.739 0.933 0.000
0.761 0.433 0.500
0.819 0.181 0.251
0.819 0.181 0.749
0.871 0.465 0.000
0.895 0.895 0.500
0.933 0.739 0.000
0.965 0.629 0.500
```

- Calculated density: 16.07 g cm⁻³
- Raw total energy: -11.850 eV/atom

The following is a PBE-GGA calculation of a relaxed structure of LuBeRe2, from the Open Quantum Materials Database.

```
LuBeRe2
1.0
0.000 3.142 3.142
3.142 0.000 3.142
3.142 3.142 0.000
Lu Be Re
1 1 2
Direct
0.000 0.000 0.000
0.750 0.750 0.750
0.250 0.250 0.250
0.500 0.500 0.500
```

- Calculated density: 14.89 g cm⁻³
- Raw total energy: -8.121 eV/atom

The following is a PBE-GGA calculation of a relaxed structure of RbNpSe3, from the Open Quantum Materials Database.

```
RbNpSe3
1.0
5.466 0.000 0.000
0.000 5.466 0.000
0.000 0.000 5.466
Rb Np Se
1 1 3
Direct
0.000 0.000 0.000
0.500 0.500 0.500
0.000 0.500 0.500
0.500 0.000 0.500
0.500 0.500 0.000
```

- Calculated density: 5.69 g cm⁻³
- Raw total energy: -5.937 eV/atom

The following is a PBE-GGA calculation of a relaxed structure of Gd2FePt, from the Open Quantum Materials Database.

```
Gd2FePt
1.0
4.198 0.000 0.000
0.000 7.517 0.000
0.000 0.000 5.674
Gd Fe Pt
4 2 2
Direct
0.000 0.075 0.000
0.000 0.575 0.257
0.500 0.425 0.757
0.500 0.925 0.500
0.000 0.214 0.491
0.500 0.786 0.991
0.000 0.710 0.759
0.500 0.290 0.259
```

- Calculated density: 10.49 g cm⁻³
- Raw total energy: -6.436 eV/atom

The following is a PBE-GGA calculation of a relaxed structure of Ba2GdSbO6, from the Open Quantum Materials Database.

```
Ba2GdSbO6
1.0
6.006 0.000 0.000
0.000 6.012 0.000
-6.006 0.000 8.524
Ba Gd Sb O
4 2 2 12
Direct
0.250 0.001 0.250
0.250 0.499 0.750
0.750 0.501 0.250
0.750 0.999 0.750
0.000 0.000 0.500
0.000 0.500 0.000
0.500 0.000 0.000
0.500 0.500 0.500
0.244 0.216 0.999
0.244 0.284 0.499
0.268 0.001 0.764
0.268 0.499 0.264
0.281 0.746 0.998
0.281 0.754 0.498
0.719 0.246 0.502
0.719 0.254 0.002
0.732 0.501 0.736
0.732 0.999 0.236
0.756 0.716 0.501
0.756 0.784 0.001
```

- Calculated density: 7.01 g cm⁻³
- Raw total energy: -6.888 eV/atom

The following is a PBE-GGA calculation of a relaxed structure of CoCu5B2, from the Open Quantum Materials Database.

```
CoCu5B2
1.0
3.456 0.000 0.000
0.000 3.456 0.000
0.000 0.000 6.819
Co Cu B
1 5 2
Direct
0.000 0.000 0.000
0.000 0.500 0.252
0.000 0.500 0.748
0.500 0.000 0.252
0.500 0.000 0.748
0.500 0.500 0.500
0.000 0.000 0.500
0.500 0.500 0.000
```

- Calculated density: 8.12 g cm⁻³
- Raw total energy: -4.435 eV/atom

The following is a PBE-GGA calculation of a relaxed structure of La2TbSn6Pb, from the Open Quantum Materials Database.

```
La2TbSn6Pb
1.0
2.292 -13.122 0.000
2.292 13.122 0.000
0.000 0.000 4.709
La Tb Sn Pb
2 1 6 1
Direct
0.185 0.815 0.000
0.815 0.185 0.000
0.000 0.000 0.000
0.094 0.906 0.500
0.289 0.711 0.500
0.407 0.593 0.000
0.593 0.407 0.000
0.711 0.289 0.500
0.906 0.094 0.500
0.500 0.500 0.500
```

- Calculated density: 7.95 g cm⁻³
- Raw total energy: -4.801 eV/atom

The following is a PBE-GGA calculation of a relaxed structure of AsIrAuO, from the Open Quantum Materials Database.

```
AsIrAuO
1.0
4.154 0.000 0.000
0.000 4.154 0.000
0.000 0.000 8.387
As Ir Au O
2 2 2 2
Direct
0.250 0.250 0.162
0.750 0.750 0.838
0.250 0.750 0.000
0.750 0.250 0.000
0.250 0.250 0.568
0.750 0.750 0.432
0.250 0.750 0.500
0.750 0.250 0.500
```

- Calculated density: 11.02 g cm⁻³
- Raw total energy: -5.306 eV/atom

The following is a PBE-GGA calculation of a relaxed structure of BaPuMg, from the Open Quantum Materials Database.

```
BaPuMg
1.0
0.000 3.957 3.957
3.957 0.000 3.957
3.957 3.957 0.000
Ba Pu Mg
1 1 1
Direct
0.000 0.000 0.000
0.500 0.500 0.500
0.250 0.250 0.250
```

- Calculated density: 5.43 g cm⁻³
- Raw total energy: -5.303 eV/atom

The following is a PBE-GGA calculation of a relaxed structure of GdAuNO, from the Open Quantum Materials Database.

```
GdAuNO
1.0
4.136 0.000 0.000
0.000 7.423 0.000
0.000 0.000 5.126
Gd Au N O
2 2 2 2
Direct
0.000 0.160 0.000
0.000 0.840 0.500
0.500 0.477 0.620
0.500 0.523 0.120
0.500 0.293 0.902
0.500 0.707 0.402
0.000 0.118 0.420
0.000 0.882 0.920
```

- Calculated density: 8.11 g cm⁻³
- Raw total energy: -6.308 eV/atom

The following is a PBE-GGA calculation of a relaxed structure of PrTaN2O, from the Open Quantum Materials Database.

```
PrTaN2O
1.0
5.541 0.000 0.000
2.769 4.901 0.000
2.639 1.705 5.168
Pr Ta N O
2 2 4 2
Direct
0.000 0.000 0.000
0.265 0.260 0.225
0.490 0.445 0.561
0.770 0.773 0.664
0.174 0.616 0.396
0.441 0.071 0.835
0.627 0.456 0.841
0.806 0.201 0.366
0.035 0.647 0.867
0.602 0.814 0.382
```

- Calculated density: 8.66 g cm⁻³
- Raw total energy: -9.419 eV/atom